Entry 1:
Below is an optimized crystal structure of LaSc2SnN, with properties calculated at the PBE-GGA level.

extended XYZ file:
```
5
Lattice="4.581 0.000 0.000 0.000 4.581 0.000 0.000 0.000 5.052" Properties=species:S:1:pos:R:3 pbc="T T T"
La 0.000 0.000 0.000
Sc 0.000 2.291 2.526
Sc 2.291 0.000 2.526
Sn 2.291 2.291 0.000
N 0.000 0.000 2.526
```

* formation energy from raw total energies: -988 meV per atom

Entry 2:
Below is an optimized crystal structure of LaScTiN3, with properties calculated at the PBE-GGA level.

extended XYZ file:
```
12
Lattice="5.738 0.000 0.000 0.000 3.357 0.000 -1.870 0.000 8.152" Properties=species:S:1:pos:R:3 pbc="T T T"
La 0.484 0.839 1.595
La 3.383 2.518 6.557
Sc 0.513 2.518 4.451
Sc 3.354 0.839 3.701
Ti 0.516 0.839 6.970
Ti 3.351 2.518 1.182
N -0.848 0.839 5.414
N -0.162 2.518 7.915
N 2.031 2.518 2.760
N 1.836 0.839 5.391
N 4.029 0.839 0.237
N 4.715 2.518 2.737
```

* formation energy from raw total energies: -1537 meV per atom

Entry 3:
Below is an optimized crystal structure of La2ScTlN, with properties calculated at the PBE-GGA level.

extended XYZ file:
```
5
Lattice="5.191 0.000 0.000 0.000 5.191 0.000 0.000 0.000 4.518" Properties=species:S:1:pos:R:3 pbc="T T T"
La 0.000 2.595 0.000
La 2.595 0.000 0.000
Sc 0.000 0.000 2.259
Tl 2.595 2.595 2.259
N 0.000 0.000 0.000
```

* formation energy from raw total energies: -841 meV per atom

Entry 4:
Below is an optimized crystal structure of LaSc2TlN, with properties calculated at the PBE-GGA level.

extended XYZ file:
```
5
Lattice="4.618 0.000 0.000 0.000 4.618 0.000 0.000 0.000 5.020" Properties=species:S:1:pos:R:3 pbc="T T T"
La 0.000 0.000 0.000
Sc 0.000 2.309 2.510
Sc 2.309 0.000 2.510
Tl 2.309 2.309 0.000
N 0.000 0.000 2.510
```

* formation energy from raw total energies: -850 meV per atom

Entry 5:
Below is an optimized crystal structure of LaY2ScN, with properties calculated at the PBE-GGA level.

extended XYZ file:
```
5
Lattice="4.835 0.000 0.000 0.000 4.835 0.000 0.000 0.000 5.361" Properties=species:S:1:pos:R:3 pbc="T T T"
La 0.000 0.000 0.000
Y 0.000 2.418 2.681
Y 2.418 0.000 2.681
Sc 2.418 2.418 0.000
N 0.000 0.000 2.681
```

* formation energy from raw total energies: -535 meV per atom

Entry 6:
Below is an optimized crystal structure of La2YScN, with properties calculated at the PBE-GGA level.

extended XYZ file:
```
5
Lattice="5.422 0.000 0.000 0.000 5.422 0.000 0.000 0.000 4.365" Properties=species:S:1:pos:R:3 pbc="T T T"
La 0.000 2.711 0.000
La 2.711 0.000 0.000
Y 0.000 0.000 2.183
Sc 2.711 2.711 2.183
N 2.711 2.711 0.000
```

* formation energy from raw total energies: -527 meV per atom
* distance to the lowest polymorph of the same formula: 0.0 meV per atom

Question: Among the records above, which one has the highest formation energy from raw total energies?
Answer: La2YScN

Question: The lowest formation energy from raw total energies belongs to which entry?
Answer: LaScTiN3

Question: What is the formula in the second record?
Answer: LaScTiN3

Question: What is the formula in the first record?
Answer: LaSc2SnN